Record 1
Density functional theory data (PBE-GGA) for GaPb2Br after structural relaxation.

Cell and atoms, written as POSCAR:
```
GaPb2Br
1.0
3.580 0.000 0.000
0.000 3.580 0.000
0.000 0.000 8.645
Ga Br Pb
1 1 2
Direct
0.500 0.500 0.000 Ga
0.500 0.500 0.500 Br
0.000 0.000 0.230 Pb
0.000 0.000 0.770 Pb
```

## Properties
Energy above the lowest structure with this stoichiometry ... 0.000 eV per atom
DOS at the Fermi energy ... 0.50 states/eV per atom
Uncorrected formation energy ... -0.152 eV per atom

***

Record 2
Density functional theory data (PBE-GGA) for Ga2Pb2Br after structural relaxation.

Cell and atoms, written as POSCAR:
```
Ga2Pb2Br
1.0
-5.381 5.917 3.650
-1.439 -5.463 6.735
2.830 1.467 1.795
Pb Ga Br
4 4 2
Direct
0.802 0.698 0.000 Pb
0.302 0.802 0.000 Pb
0.698 0.198 0.000 Pb
0.198 0.302 0.000 Pb
0.396 0.104 0.500 Ga
0.104 0.604 0.500 Ga
0.896 0.396 0.500 Ga
0.604 0.896 0.500 Ga
0.000 0.000 0.000 Br
0.500 0.500 0.000 Br
```

## Properties
Energy above the lowest structure with this stoichiometry ... 0.095 eV per atom
DOS at the Fermi energy ... 0.50 states/eV per atom
Uncorrected formation energy ... -0.061 eV per atom

***

Record 3
Density functional theory data (PBE-GGA) for Ga2PbBr after structural relaxation.

Cell and atoms, written as POSCAR:
```
Ga2PbBr
1.0
6.374 0.000 0.000
0.000 6.374 0.000
3.187 3.187 7.158
Pb Ga Br
2 4 2
Direct
0.000 0.000 0.000 Pb
0.750 0.250 0.500 Pb
0.639 0.125 0.250 Ga
0.111 0.625 0.250 Ga
0.375 0.361 0.750 Ga
0.875 0.889 0.750 Ga
0.500 0.500 0.000 Br
0.250 0.750 0.500 Br
```

## Properties
Energy above the lowest structure with this stoichiometry ... 0.015 eV per atom
DOS at the Fermi energy ... 0.39 states/eV per atom
Uncorrected formation energy ... 0.057 eV per atom

***

Record 4
Density functional theory data (PBE-GGA) for Ga2Pb2Br after structural relaxation.

Cell and atoms, written as POSCAR:
```
Ga2Pb2Br
1.0
3.811 0.000 0.000
0.000 3.811 0.000
1.905 1.905 9.418
Pb Br Ga
2 1 2
Direct
0.384 0.384 0.233 Pb
0.616 0.616 0.767 Pb
0.000 0.000 0.000 Br
0.750 0.250 0.500 Ga
0.250 0.750 0.500 Ga
```

## Properties
Energy above the lowest structure with this stoichiometry ... 0.000 eV per atom
DOS at the Fermi energy ... 0.31 states/eV per atom
Uncorrected formation energy ... -0.156 eV per atom